Entry 1:
## Ac3AgHg3 (PBE-GGA)

Data for a geometry-optimized Ac3AgHg3 structure.

Results
VASP energy in Ry/atom: -0.199
ΔH_f (0 K) in eV/atom: -0.409

a = 5.0428 Å, b = 4.0414 Å, c = 11.2891 Å
α = 100.31°, β = 102.91°, γ = 90.00°
Positions (direct):
Ac: 0.6907 0.1907 0.3814
Ac: 0.3106 0.8106 0.6213
Ac: 0.9985 0.9985 0.9971
Ag: 0.4328 0.4328 0.8656
Hg: 0.1452 0.6452 0.2905
Hg: 0.8589 0.3589 0.7177
Hg: 0.5632 0.5632 0.1264

Entry 2:
## Ac3Ag9Hg2 (PBE-GGA)

Data for a geometry-optimized Ac3Ag9Hg2 structure.

Results
VASP energy in Ry/atom: -0.220
ΔH_f (0 K) in eV/atom: -0.240

a = 4.7961 Å, b = 9.0368 Å, c = 9.0368 Å
α = 67.04°, β = 74.61°, γ = 74.61°
Positions (direct):
Ag: 0.1323 0.1485 0.5868
Ag: 0.1323 0.5868 0.1485
Ag: 0.6701 0.6909 0.9689
Ag: 0.8677 0.4132 0.8515
Ag: 0.0000 0.5000 0.5000
Ag: 0.3299 0.3091 0.0311
Ag: 0.6701 0.9689 0.6909
Ag: 0.3299 0.0311 0.3091
Ag: 0.8677 0.8515 0.4132
Hg: 0.5000 0.2986 0.7014
Hg: 0.5000 0.7014 0.2986
Ac: 0.0000 0.0000 0.0000
Ac: 0.6967 0.3033 0.3033
Ac: 0.3033 0.6967 0.6967

Entry 3:
## AcAgHg3 (PBE-GGA)

Data for a geometry-optimized AcAgHg3 structure.

Results
VASP energy in Ry/atom: -0.138
ΔH_f (0 K) in eV/atom: -0.308

a = 5.3731 Å, b = 9.8651 Å, c = 9.8469 Å
α = 90.00°, β = 90.00°, γ = 90.00°
Positions (direct):
Hg: 0.2500 0.0857 0.3715
Hg: 0.2500 0.3959 0.6541
Hg: 0.7500 0.6062 0.6546
Hg: 0.7500 0.6041 0.3459
Hg: 0.7500 0.4143 0.8715
Hg: 0.2500 0.5857 0.1285
Hg: 0.7500 0.1062 0.8454
Hg: 0.2500 0.8959 0.8459
Hg: 0.2500 0.8938 0.1546
Hg: 0.2500 0.3938 0.3454
Hg: 0.7500 0.9143 0.6285
Hg: 0.7500 0.1041 0.1541
Ag: 0.2500 0.6070 0.8371
Ag: 0.7500 0.8930 0.3371
Ag: 0.7500 0.3930 0.1629
Ag: 0.2500 0.1070 0.6629
Ac: 0.7500 0.7510 0.9997
Ac: 0.2500 0.7490 0.4997
Ac: 0.2500 0.2490 0.0003
Ac: 0.7500 0.2510 0.5003

Entry 4:
## AcAg2Hg (PBE-GGA)

Data for a geometry-optimized AcAg2Hg structure.

Results
VASP energy in Ry/atom: -0.205
ΔH_f (0 K) in eV/atom: -0.258

a = 4.8229 Å, b = 4.0993 Å, c = 10.8719 Å
α = 100.87°, β = 90.00°, γ = 90.00°
Positions (direct):
Hg: 0.7500 0.3348 0.6695
Hg: 0.2500 0.6652 0.3305
Ag: 0.7500 0.4684 0.9368
Ag: 0.2500 0.2606 0.5211
Ag: 0.2500 0.5316 0.0632
Ag: 0.7500 0.7395 0.4789
Ac: 0.2500 0.9005 0.8011
Ac: 0.7500 0.0995 0.1989

Entry 5:
## Ac2AgHg5 (PBE-GGA)

Data for a geometry-optimized Ac2AgHg5 structure.

Results
ΔE to the lowest computed polymorph in kJ/mol of atoms: 0.00
VASP energy in Ry/atom: -0.139
ΔH_f (0 K) in eV/atom: -0.326

a = 4.7817 Å, b = 9.4977 Å, c = 10.2889 Å
α = 90.00°, β = 90.00°, γ = 104.58°
Positions (direct):
Ac: 0.8019 0.6039 0.7500
Ac: 0.0000 0.0000 0.5000
Ac: 0.0000 0.0000 0.0000
Ac: 0.1981 0.3961 0.2500
Hg: 0.3605 0.7211 0.5308
Hg: 0.1938 0.3876 0.8968
Hg: 0.6395 0.2789 0.4692
Hg: 0.6395 0.2789 0.0308
Hg: 0.4011 0.8023 0.2500
Hg: 0.3605 0.7211 0.9692
Hg: 0.5989 0.1977 0.7500
Hg: 0.1938 0.3876 0.6032
Hg: 0.8062 0.6124 0.1032
Hg: 0.8062 0.6124 0.3968
Ag: 0.5503 0.1006 0.2500
Ag: 0.4497 0.8994 0.7500

Entry 6:
## AcAg2Hg6 (PBE-GGA)

Data for a geometry-optimized AcAg2Hg6 structure.

Results
VASP energy in Ry/atom: -0.100
ΔH_f (0 K) in eV/atom: -0.073

a = 4.0202 Å, b = 8.3126 Å, c = 8.3126 Å
α = 62.31°, β = 75.68°, γ = 75.68°
Positions (direct):
Ag: 0.1215 0.3809 0.3809
Ag: 0.8785 0.6191 0.6191
Ac: 0.0000 0.0000 0.0000
Hg: 0.5000 0.3268 0.6732
Hg: 0.5000 0.6732 0.3268
Hg: 0.6901 0.6391 0.9799
Hg: 0.3099 0.3609 0.0201
Hg: 0.3099 0.0201 0.3609
Hg: 0.6901 0.9799 0.6391

Entry 7:
## Ac4Ag2Hg5 (PBE-GGA)

Data for a geometry-optimized Ac4Ag2Hg5 structure.

Results
VASP energy in Ry/atom: -0.187
ΔH_f (0 K) in eV/atom: -0.388

a = 4.1203 Å, b = 8.3066 Å, c = 9.9482 Å
α = 86.86°, β = 90.00°, γ = 90.00°
Positions (direct):
Ac: 0.5000 0.7458 0.6134
Ac: 0.5000 0.2122 0.8601
Ac: 0.5000 0.2542 0.3866
Ac: 0.5000 0.7878 0.1399
Hg: 0.0000 0.1346 0.1257
Hg: 0.0000 0.4183 0.6442
Hg: 0.0000 0.5817 0.3558
Hg: 0.0000 0.5000 0.0000
Hg: 0.0000 0.8654 0.8743
Ag: 0.0000 0.0682 0.6243
Ag: 0.0000 0.9318 0.3757

Entry 8:
## AcAg2Hg (PBE-GGA)

Data for a geometry-optimized AcAg2Hg structure.

Results
VASP energy in Ry/atom: -0.195
ΔH_f (0 K) in eV/atom: -0.123

a = 3.8781 Å, b = 3.8781 Å, c = 6.9690 Å
α = 90.00°, β = 90.00°, γ = 90.00°
Positions (direct):
Hg: 0.5000 0.5000 0.0000
Ag: 0.0000 0.0000 0.7866
Ag: 0.0000 0.0000 0.2134
Ac: 0.5000 0.5000 0.5000

What did the seventh record say?
## Ac4Ag2Hg5 (PBE-GGA)

Data for a geometry-optimized Ac4Ag2Hg5 structure.

Results
VASP energy in Ry/atom: -0.187
ΔH_f (0 K) in eV/atom: -0.388

a = 4.1203 Å, b = 8.3066 Å, c = 9.9482 Å
α = 86.86°, β = 90.00°, γ = 90.00°
Positions (direct):
Ac: 0.5000 0.7458 0.6134
Ac: 0.5000 0.2122 0.8601
Ac: 0.5000 0.2542 0.3866
Ac: 0.5000 0.7878 0.1399
Hg: 0.0000 0.1346 0.1257
Hg: 0.0000 0.4183 0.6442
Hg: 0.0000 0.5817 0.3558
Hg: 0.0000 0.5000 0.0000
Hg: 0.0000 0.8654 0.8743
Ag: 0.0000 0.0682 0.6243
Ag: 0.0000 0.9318 0.3757

Repeat the eighth record exactly.
## AcAg2Hg (PBE-GGA)

Data for a geometry-optimized AcAg2Hg structure.

Results
VASP energy in Ry/atom: -0.195
ΔH_f (0 K) in eV/atom: -0.123

a = 3.8781 Å, b = 3.8781 Å, c = 6.9690 Å
α = 90.00°, β = 90.00°, γ = 90.00°
Positions (direct):
Hg: 0.5000 0.5000 0.0000
Ag: 0.0000 0.0000 0.7866
Ag: 0.0000 0.0000 0.2134
Ac: 0.5000 0.5000 0.5000

ΔH_f (0 K) of number 6 (AcAg2Hg6)? -0.073 eV/atom